(1)
# LaTaCrOs2, relaxed, DFT PBE-GGA
# VASP energy = -7.721 eV per atom
# Crystal system = tetragonal
# Formation enthalpy at 0 K = 2.0516 eV/atom
data_LaTaCrOs2
_symmetry_space_group_name_H-M 'P 1'
_symmetry_Int_Tables_number 1
_symmetry_space_group_name_Hall 'P 1'
_cell_length_a 4.7842
_cell_length_b 4.7842
_cell_length_c 5.3369
_cell_angle_alpha 90.00
_cell_angle_beta 90.00
_cell_angle_gamma 90.00
loop_
_atom_site_label
_atom_site_type_symbol
_atom_site_fract_x
_atom_site_fract_y
_atom_site_fract_z
_atom_site_occupancy
La1 La 0.0000 0.0000 0.0000 1
Ta1 Ta 0.0000 0.0000 0.5000 1
Cr1 Cr 0.5000 0.5000 0.0000 1
Os1 Os 0.0000 0.5000 0.5000 1
Os2 Os 0.5000 0.0000 0.5000 1



(2)
# LaCrP2, relaxed, DFT PBE-GGA
# ΔE to the lowest computed polymorph = 554.0 meV/atom
# VASP energy = -6.669 eV per atom
# Crystal system = tetragonal
# Formation enthalpy at 0 K = -0.3259 eV/atom
data_LaCrP2
_symmetry_space_group_name_H-M 'P 1'
_symmetry_Int_Tables_number 1
_symmetry_space_group_name_Hall 'P 1'
_cell_length_a 4.6874
_cell_length_b 4.6874
_cell_length_c 3.6673
_cell_angle_alpha 90.00
_cell_angle_beta 90.00
_cell_angle_gamma 90.00
loop_
_atom_site_label
_atom_site_type_symbol
_atom_site_fract_x
_atom_site_fract_y
_atom_site_fract_z
_atom_site_occupancy
La1 La 0.0000 0.0000 0.0000 1
Cr1 Cr 0.5000 0.5000 0.0000 1
P1 P 0.0000 0.5000 0.5000 1
P2 P 0.5000 0.0000 0.5000 1



(3)
# LaCr2P2, relaxed, DFT PBE-GGA
# VASP energy = -7.186 eV per atom
# Crystal system = tetragonal
# Formation enthalpy at 0 K = -0.1875 eV/atom
data_LaCr2P2
_symmetry_space_group_name_H-M 'P 1'
_symmetry_Int_Tables_number 1
_symmetry_space_group_name_Hall 'P 1'
_cell_length_a 7.5536
_cell_length_b 7.5536
_cell_length_c 3.0204
_cell_angle_alpha 90.00
_cell_angle_beta 90.00
_cell_angle_gamma 90.00
loop_
_atom_site_label
_atom_site_type_symbol
_atom_site_fract_x
_atom_site_fract_y
_atom_site_fract_z
_atom_site_occupancy
La1 La 0.0000 0.0000 0.0000 1
La2 La 0.5000 0.5000 0.0000 1
Cr1 Cr 0.0985 0.4015 0.5000 1
Cr2 Cr 0.4015 0.9015 0.5000 1
Cr3 Cr 0.5985 0.0985 0.5000 1
Cr4 Cr 0.9015 0.5985 0.5000 1
P1 P 0.1466 0.6466 0.0000 1
P2 P 0.3534 0.1466 0.0000 1
P3 P 0.6466 0.8534 0.0000 1
P4 P 0.8534 0.3534 0.0000 1



(4)
# LaCrP2, relaxed, DFT PBE-GGA
# ΔE to the lowest computed polymorph = 678.6 meV/atom
# VASP energy = -6.544 eV per atom
# Crystal system = cubic
# Formation enthalpy at 0 K = -0.2013 eV/atom
data_LaCrP2
_symmetry_space_group_name_H-M 'P 1'
_symmetry_Int_Tables_number 1
_symmetry_space_group_name_Hall 'P 1'
_cell_length_a 6.5787
_cell_length_b 6.5787
_cell_length_c 6.5787
_cell_angle_alpha 90.00
_cell_angle_beta 90.00
_cell_angle_gamma 90.00
loop_
_atom_site_label
_atom_site_type_symbol
_atom_site_fract_x
_atom_site_fract_y
_atom_site_fract_z
_atom_site_occupancy
La1 La 0.0000 0.0000 0.0000 1
La2 La 0.0000 0.5000 0.5000 1
La3 La 0.5000 0.0000 0.5000 1
La4 La 0.5000 0.5000 0.0000 1
Cr1 Cr 0.0000 0.0000 0.5000 1
Cr2 Cr 0.0000 0.5000 0.0000 1
Cr3 Cr 0.5000 0.0000 0.0000 1
Cr4 Cr 0.5000 0.5000 0.5000 1
P1 P 0.2500 0.2500 0.2500 1
P2 P 0.2500 0.2500 0.7500 1
P3 P 0.2500 0.7500 0.2500 1
P4 P 0.2500 0.7500 0.7500 1
P5 P 0.7500 0.2500 0.2500 1
P6 P 0.7500 0.2500 0.7500 1
P7 P 0.7500 0.7500 0.2500 1
P8 P 0.7500 0.7500 0.7500 1



(5)
# LaCr2P, relaxed, DFT PBE-GGA
# VASP energy = -7.137 eV per atom
# Crystal system = tetragonal
# Formation enthalpy at 0 K = 0.2591 eV/atom
data_LaCr2P
_symmetry_space_group_name_H-M 'P 1'
_symmetry_Int_Tables_number 1
_symmetry_space_group_name_Hall 'P 1'
_cell_length_a 4.2598
_cell_length_b 4.2598
_cell_length_c 3.8000
_cell_angle_alpha 90.00
_cell_angle_beta 90.00
_cell_angle_gamma 90.00
loop_
_atom_site_label
_atom_site_type_symbol
_atom_site_fract_x
_atom_site_fract_y
_atom_site_fract_z
_atom_site_occupancy
La1 La 0.0000 0.0000 0.0000 1
Cr1 Cr 0.0000 0.5000 0.5000 1
Cr2 Cr 0.5000 0.0000 0.5000 1
P1 P 0.5000 0.5000 0.0000 1



(6)
# LaCrP2, relaxed, DFT PBE-GGA
# ΔE to the lowest computed polymorph = 1148.9 meV/atom
# VASP energy = -6.074 eV per atom
# Crystal system = trigonal
# Formation enthalpy at 0 K = 0.2691 eV/atom
data_LaCrP2
_symmetry_space_group_name_H-M 'P 1'
_symmetry_Int_Tables_number 1
_symmetry_space_group_name_Hall 'P 1'
_cell_length_a 3.3238
_cell_length_b 3.3238
_cell_length_c 24.9901
_cell_angle_alpha 90.00
_cell_angle_beta 90.00
_cell_angle_gamma 120.00
loop_
_atom_site_label
_atom_site_type_symbol
_atom_site_fract_x
_atom_site_fract_y
_atom_site_fract_z
_atom_site_occupancy
La1 La 0.0000 0.0000 0.0000 1
La2 La 0.3333 0.6667 0.6667 1
La3 La 0.6667 0.3333 0.3333 1
Cr1 Cr 0.0000 0.0000 0.2228 1
Cr2 Cr 0.3333 0.6667 0.8895 1
Cr3 Cr 0.6667 0.3333 0.5562 1
P1 P 0.0000 0.0000 0.4868 1
P2 P 0.0000 0.0000 0.7643 1
P3 P 0.3333 0.6667 0.1535 1
P4 P 0.3333 0.6667 0.4310 1
P5 P 0.6667 0.3333 0.0977 1
P6 P 0.6667 0.3333 0.8201 1



(7)
# LaCrP2, relaxed, DFT PBE-GGA
# ΔE to the lowest computed polymorph = 414.5 meV/atom
# VASP energy = -6.808 eV per atom
# Crystal system = tetragonal
# Formation enthalpy at 0 K = -0.4653 eV/atom
data_LaCrP2
_symmetry_space_group_name_H-M 'P 1'
_symmetry_Int_Tables_number 1
_symmetry_space_group_name_Hall 'P 1'
_cell_length_a 3.9384
_cell_length_b 3.9384
_cell_length_c 5.8654
_cell_angle_alpha 90.00
_cell_angle_beta 90.00
_cell_angle_gamma 90.00
loop_
_atom_site_label
_atom_site_type_symbol
_atom_site_fract_x
_atom_site_fract_y
_atom_site_fract_z
_atom_site_occupancy
La1 La 0.0000 0.0000 0.0000 1
Cr1 Cr 0.5000 0.5000 0.4812 1
P1 P 0.0000 0.0000 0.5087 1
P2 P 0.5000 0.5000 0.0807 1



(8)
# La4Cr2P, relaxed, DFT PBE-GGA
# VASP energy = -6.191 eV per atom
# Crystal system = tetragonal
# Formation enthalpy at 0 K = 0.1467 eV/atom
data_La4Cr2P
_symmetry_space_group_name_H-M 'P 1'
_symmetry_Int_Tables_number 1
_symmetry_space_group_name_Hall 'P 1'
_cell_length_a 5.6589
_cell_length_b 5.6589
_cell_length_c 14.5918
_cell_angle_alpha 90.00
_cell_angle_beta 90.00
_cell_angle_gamma 90.00
loop_
_atom_site_label
_atom_site_type_symbol
_atom_site_fract_x
_atom_site_fract_y
_atom_site_fract_z
_atom_site_occupancy
La1 La 0.0000 0.0000 0.1940 1
La2 La 0.0000 0.0000 0.8060 1
La3 La 0.0000 0.5000 0.0000 1
La4 La 0.0000 0.5000 0.5000 1
La5 La 0.5000 0.0000 0.0000 1
La6 La 0.5000 0.0000 0.5000 1
La7 La 0.5000 0.5000 0.3060 1
La8 La 0.5000 0.5000 0.6940 1
Cr1 Cr 0.0000 0.0000 0.3973 1
Cr2 Cr 0.0000 0.0000 0.6027 1
Cr3 Cr 0.5000 0.5000 0.1027 1
Cr4 Cr 0.5000 0.5000 0.8973 1
P1 P 0.0000 0.0000 0.0000 1
P2 P 0.5000 0.5000 0.5000 1



(9)
# LaCr2P, relaxed, DFT PBE-GGA
# VASP energy = -7.441 eV per atom
# Crystal system = orthorhombic
# Formation enthalpy at 0 K = -0.0448 eV/atom
data_LaCr2P
_symmetry_space_group_name_H-M 'P 1'
_symmetry_Int_Tables_number 1
_symmetry_space_group_name_Hall 'P 1'
_cell_length_a 5.6375
_cell_length_b 6.1784
_cell_length_c 4.3583
_cell_angle_alpha 90.00
_cell_angle_beta 90.00
_cell_angle_gamma 90.00
loop_
_atom_site_label
_atom_site_type_symbol
_atom_site_fract_x
_atom_site_fract_y
_atom_site_fract_z
_atom_site_occupancy
La1 La 0.0000 0.0000 0.0000 1
La2 La 0.5000 0.5000 0.0000 1
Cr1 Cr 0.0000 0.3443 0.5000 1
Cr2 Cr 0.0000 0.6557 0.5000 1
Cr3 Cr 0.5000 0.1557 0.5000 1
Cr4 Cr 0.5000 0.8443 0.5000 1
P1 P 0.0000 0.5000 0.0000 1
P2 P 0.5000 0.0000 0.0000 1



(10)
# LaCr2P, relaxed, DFT PBE-GGA
# VASP energy = -7.290 eV per atom
# Crystal system = tetragonal
# Formation enthalpy at 0 K = 0.1058 eV/atom
data_LaCr2P
_symmetry_space_group_name_H-M 'P 1'
_symmetry_Int_Tables_number 1
_symmetry_space_group_name_Hall 'P 1'
_cell_length_a 3.1551
_cell_length_b 3.1551
_cell_length_c 6.7018
_cell_angle_alpha 90.00
_cell_angle_beta 90.00
_cell_angle_gamma 90.00
loop_
_atom_site_label
_atom_site_type_symbol
_atom_site_fract_x
_atom_site_fract_y
_atom_site_fract_z
_atom_site_occupancy
La1 La 0.0000 0.0000 0.0000 1
Cr1 Cr 0.5000 0.5000 0.3442 1
Cr2 Cr 0.5000 0.5000 0.6558 1
P1 P 0.0000 0.0000 0.5000 1



no.,size of the total moment (μB/f.u.)
1,0.020
2,4.020
3,0.002
4,0.001
5,5.220
6,3.500
7,2.958
8,7.317
9,0.000
10,0.000